The following is a DFT calculation (PBE) of KBH4 after structural relaxation.

Lattice parameters (Å, degrees): 8.2084 4.8699 4.9730 90.00 127.29 90.00
Closest atoms and distances in Å follow each position.
Space group C2 (No. 5)
Inequivalent atoms, fractional coordinates:
K1 0.0000 0.0000 0.0000 x2  8 H 2.59-2.73
B1 0.0000 0.4987 0.5000 x2  4 H 1.23
H1 0.1102 0.6422 0.7530 x4  1 B 1.23
H2 0.1111 0.3555 0.4696 x4  1 B 1.23

Computed properties:
The raw total energy comes out at -3.931 eV/atom. Its total magnetization is 0.00 Bohr magnetons per cell.

---

The following is a DFT calculation (PBE) of NbGaSiC2 after structural relaxation.

Lattice parameters (Å, degrees): 3.6959 3.6959 5.0271 90.00 90.00 90.00
Closest atoms and distances in Å follow each position.
Space group P4/mmm (No. 123)
Inequivalent atoms, fractional coordinates:
Nb1 0.0000 0.0000 0.0000 x1  4 Ga 2.61
Ga1 0.5000 0.5000 0.0000 x1  2 Si 2.51, 4 Nb 2.61
Si1 0.5000 0.5000 0.5000 x1  4 C 1.85
C1 0.0000 0.5000 0.5000 x2  2 Si 1.85

Computed properties:
The value obtained for the formation energy (no corrections) is 1505 meV/atom. For the energy above the most stable polymorph in this dataset, the calculation gives 0 meV per atom. Its total magnetization is 0.00 Bohr magnetons per cell.

---

The following is a DFT calculation (PBE) of RbMg2As2 after structural relaxation.

Lattice parameters (Å, degrees): 8.4813 8.4813 3.2277 90.00 90.00 90.00
Closest atoms and distances in Å follow each position.
Space group P4/mbm (No. 127)
Inequivalent atoms, fractional coordinates:
Rb1 0.0000 0.0000 0.0000 x2  2 Rb 3.23, 4 Mg 3.35, 8 As 3.56
Mg1 0.1262 0.3738 0.0000 x4  6 As 2.95-3.00, 3 Mg 3.03-3.23
As1 0.1626 0.6626 0.5000 x4  6 Mg 2.95-3.00, 2 As 3.23

Computed properties:
The value obtained for the formation energy is -32 kJ per mole of atoms. Its total magnetization is 0.00 Bohr magnetons per cell.

---

The following is a DFT calculation (PBE) of MgMn2Pb after structural relaxation.

Lattice parameters (Å, degrees): 3.1497 3.1497 7.7825 90.00 90.00 90.00
Closest atoms and distances in Å follow each position.
Space group P4mm (No. 99)
Inequivalent atoms, fractional coordinates:
Mg1 0.0000 0.0000 0.0000 x1  5 Mn 2.88-2.97, 4 Mg 3.15
Mn1 0.0000 0.0000 0.3815 x1  4 Mn 2.50
Mn2 0.5000 0.5000 0.2341 x1  4 Mn 2.50
Pb1 0.5000 0.5000 0.6564 x1  5 Mn 3.09-3.29, 4 Pb 3.15

Computed properties:
The value obtained for the formation energy is 23 kJ per mole of atoms. Its total magnetization is 0.22 Bohr magnetons per cell.